a:
Rb2Ga2Au PBE relaxed; N(E_F) = 4.256 states/eV per cell; mass density = 4.377 g/cm³; total magnetic moment = 0.00 μB/atom
1.0
-2.6083 2.6083 7.0735
2.6083 -2.6083 7.0735
2.6083 2.6083 -7.0735
Rb Ga Au
2 2 1
direct
0.2500 0.7500 0.5000
0.7500 0.2500 0.5000
0.0853 0.0853 0.0000
0.9147 0.9147 0.0000
0.5000 0.5000 0.0000

=====

b:
Rb2Ga2Au PBE relaxed; N(E_F) = 4.319 states/eV per cell; mass density = 5.641 g/cm³; total magnetic moment = 0.00 μB/atom
1.0
7.0413 0.0000 0.0000
0.0000 7.0413 0.0000
0.0000 0.0000 6.0249
Rb Ga Au
4 4 2
direct
0.1896 0.3104 0.0000
0.3104 0.8104 0.0000
0.6896 0.1896 0.0000
0.8104 0.6896 0.0000
0.1291 0.6291 0.5000
0.3709 0.1291 0.5000
0.6291 0.8709 0.5000
0.8709 0.3709 0.5000
0.0000 0.0000 0.5000
0.5000 0.5000 0.5000

=====

c:
Rb2Ga2Au PBE relaxed; N(E_F) = 1.252 states/eV per cell; mass density = 4.997 g/cm³; total magnetic moment = 0.00 μB/atom
1.0
-1.9664 1.9664 10.9008
1.9664 -1.9664 10.9008
1.9664 1.9664 -10.9008
Rb Ga Au
2 2 1
direct
0.0986 0.0986 0.0000
0.9014 0.9014 0.0000
0.2500 0.7500 0.5000
0.7500 0.2500 0.5000
0.5000 0.5000 0.0000

=====

d:
Rb2Ga2Au PBE relaxed; N(E_F) = 6.147 states/eV per cell; mass density = 3.910 g/cm³; total magnetic moment = 0.00 μB/atom
1.0
-2.3189 2.3189 20.0336
2.3189 -2.3189 20.0336
2.3189 2.3189 -20.0336
Rb Ga Au
4 4 2
direct
0.0540 0.3040 0.7500
0.3040 0.0540 0.2500
0.6960 0.9460 0.7500
0.9460 0.6960 0.2500
0.1519 0.4019 0.7500
0.4019 0.1519 0.2500
0.5981 0.8481 0.7500
0.8481 0.5981 0.2500
0.3750 0.6250 0.7500
0.6250 0.3750 0.2500

=====

Which of them is the least stable? Correct choice: a.

=====

a:
Rb3Ga4Au4 PBE relaxed; N(E_F) = 6.896 states/eV per cell; mass density = 7.182 g/cm³; total magnetic moment = 0.00 μB/atom
1.0
-2.3232 2.4901 13.2213
2.3232 -2.4901 13.2213
2.3232 2.4901 -13.2213
Rb Ga Au
3 4 4
direct
0.0000 0.0000 0.0000
0.1465 0.6465 0.5000
0.8535 0.3535 0.5000
0.2480 0.2480 0.0000
0.3976 0.8976 0.5000
0.6024 0.1024 0.5000
0.7520 0.7520 0.0000
0.2978 0.7978 0.5000
0.4453 0.4453 0.0000
0.5547 0.5547 0.0000
0.7022 0.2022 0.5000

=====

b:
Rb3Ga4Au4 PBE relaxed; N(E_F) = 3.740 states/eV per cell; mass density = 7.410 g/cm³; total magnetic moment = 0.00 μB/atom
1.0
-4.2007 4.2007 4.2007
4.2007 -4.2007 4.2007
4.2007 4.2007 -4.2007
Rb Ga Au
3 4 4
direct
0.0000 0.5000 0.5000
0.5000 0.0000 0.5000
0.5000 0.5000 0.0000
0.0000 0.0000 0.2697
0.0000 0.2697 0.0000
0.2697 0.0000 0.0000
0.7303 0.7303 0.7303
0.0000 0.0000 0.6335
0.0000 0.6335 0.0000
0.3665 0.3665 0.3665
0.6335 0.0000 0.0000

=====

Which of them is the least stable? Correct choice: a.

=====

a:
Rb2Ga4Au5 PBE relaxed; N(E_F) = 3.533 states/eV per cell; mass density = 8.674 g/cm³; total magnetic moment = 0.00 μB/atom
1.0
0.0000 5.7536 7.2630
3.2862 0.0000 7.2630
3.2862 5.7536 0.0000
Rb Ga Au
2 4 5
direct
0.1363 0.1363 0.8637
0.8637 0.8637 0.1363
0.2099 0.5363 0.4637
0.4637 0.7901 0.2099
0.5363 0.2099 0.7901
0.7901 0.4637 0.5363
0.0000 0.0000 0.5000
0.2500 0.2500 0.2500
0.5000 0.5000 0.0000
0.5000 0.5000 0.5000
0.7500 0.7500 0.7500

=====

b:
Rb2Ga4Au5 PBE relaxed; N(E_F) = 4.078 states/eV per cell; mass density = 8.729 g/cm³; total magnetic moment = 0.00 μB/atom
1.0
6.7453 -3.0015 0.0000
6.7453 3.0015 0.0000
-5.3374 0.0000 6.7398
Rb Ga Au
2 4 5
direct
0.2045 0.2045 0.1386
0.7955 0.7955 0.8614
0.1182 0.1182 0.6764
0.2764 0.2764 0.6128
0.7236 0.7236 0.3872
0.8818 0.8818 0.3236
0.2119 0.6914 0.6502
0.3086 0.7881 0.3498
0.5000 0.5000 0.0000
0.6914 0.2119 0.6502
0.7881 0.3086 0.3498

=====

Which of them is the least stable? Correct choice: b.

=====

a:
RbGa2Au3 PBE relaxed; N(E_F) = 6.169 states/eV per cell; mass density = 9.734 g/cm³; total magnetic moment = 0.00 μB/atom
1.0
13.5829 0.0000 0.0000
0.0000 5.7438 0.0000
0.0000 0.0000 7.1351
Rb Ga Au
4 8 12
direct
0.0741 0.2500 0.1019
0.4259 0.7500 0.6019
0.5741 0.2500 0.3981
0.9259 0.7500 0.8981
0.1542 0.5018 0.6041
0.1542 0.9982 0.6041
0.3458 0.0018 0.1041
0.3458 0.4982 0.1041
0.6542 0.5018 0.8959
0.6542 0.9982 0.8959
0.8458 0.0018 0.3959
0.8458 0.4982 0.3959
0.0053 0.7500 0.4193
0.2095 0.7500 0.2999
0.2145 0.7500 0.8905
0.2855 0.2500 0.3905
0.2905 0.2500 0.7999
0.4947 0.2500 0.9193
0.5053 0.7500 0.0807
0.7095 0.7500 0.2001
0.7145 0.7500 0.6095
0.7855 0.2500 0.1095
0.7905 0.2500 0.7001
0.9947 0.2500 0.5807

=====

b:
RbGa2Au3 PBE relaxed; N(E_F) = 5.010 states/eV per cell; mass density = 9.362 g/cm³; total magnetic moment = 0.00 μB/atom
1.0
8.2074 -2.3266 0.0000
8.2074 2.3266 0.0000
-3.1263 0.0000 7.5781
Rb Ga Au
2 4 6
direct
0.1720 0.1720 0.0920
0.8280 0.8280 0.9080
0.1510 0.1510 0.5771
0.4773 0.4773 0.8206
0.5227 0.5227 0.1794
0.8490 0.8490 0.4229
0.0031 0.0031 0.6987
0.3118 0.3118 0.5739
0.4028 0.4028 0.3320
0.5972 0.5972 0.6680
0.6882 0.6882 0.4261
0.9969 0.9969 0.3013

=====

Which of them is the least stable? Correct choice: b.